(1)
Entry from Alexandria via LeMat-Bulk: a relaxed structure of CaHgTe2I (PBE).

The value obtained for the raw formation energy is -0.95 eV/f.u. The calculation puts the magnetization at 0.592 μB per atom. The polymorph energy (0 for the lowest one) is 1.62 kJ per mole of atoms. As for the crystal system: tetragonal. As for the total energy: -2.22 eV per atom.

It has space group P4/mmm (No. 123), with a = 6.1800 Å, b = 6.1800 Å, c = 6.0684 Å, α = 90.00°, β = 90.00° and γ = 90.00°. The asymmetric unit holds Ca at (0.0000, 0.0000, 0.0000), Hg at (0.5000, 0.5000, 0.5000), Te at (0.0000, 0.5000, 0.0000) and I at (0.0000, 0.0000, 0.5000).


(2)
Entry from Alexandria via LeMat-Bulk: a relaxed structure of CaHgTe2I (PBE).

The value obtained for the raw formation energy is -1.04 eV/f.u. The calculation puts the magnetization at 0.000 μB per atom. The polymorph energy (0 for the lowest one) is 0.00 kJ per mole of atoms. As for the crystal system: tetragonal. As for the total energy: -2.23 eV per atom.

It has space group P4/mmm (No. 123), with a = 5.5974 Å, b = 5.5974 Å, c = 6.0800 Å, α = 90.00°, β = 90.00° and γ = 90.00°. The asymmetric unit holds Ca at (0.0000, 0.0000, 0.0000), Hg at (0.5000, 0.5000, 0.5000), Te at (0.0000, 0.5000, 0.5000) and I at (0.5000, 0.5000, 0.0000).


(3)
Entry from Alexandria via LeMat-Bulk: a relaxed structure of Ca2TiHgI (PBE).

The value obtained for the raw formation energy is 0.02 eV/f.u. The calculation puts the magnetization at 0.371 μB per atom. As for the crystal system: tetragonal. As for the total energy: -2.75 eV per atom.

It has space group P4/mmm (No. 123), with a = 5.9579 Å, b = 5.9579 Å, c = 5.1303 Å, α = 90.00°, β = 90.00° and γ = 90.00°. The asymmetric unit holds Ca at (0.0000, 0.5000, 0.0000), Ti at (0.0000, 0.0000, 0.5000), Hg at (0.0000, 0.0000, 0.0000) and I at (0.5000, 0.5000, 0.5000).


(4)
Entry from Alexandria via LeMat-Bulk: a relaxed structure of CaTiHgI2 (PBE).

The value obtained for the raw formation energy is 1.82 eV/f.u. The calculation puts the magnetization at 0.530 μB per atom. As for the crystal system: tetragonal. As for the total energy: -2.30 eV per atom.

It has space group P4/mmm (No. 123), with a = 6.1897 Å, b = 6.1897 Å, c = 5.2757 Å, α = 90.00°, β = 90.00° and γ = 90.00°. The asymmetric unit holds Ca at (0.0000, 0.0000, 0.0000), Ti at (0.5000, 0.5000, 0.0000), Hg at (0.5000, 0.5000, 0.5000) and I at (0.0000, 0.5000, 0.5000).


(5)
Entry from Alexandria via LeMat-Bulk: a relaxed structure of CaInHg2 (PBE).

The calculation puts the magnetization at 0.000 μB per atom. Its formation energy is -0.175 eV per atom. As for the crystal system: trigonal. As for the total energy: -1.51 eV per atom.

It has space group R3m (No. 160, hexagonal axes), with a = 3.7873 Å, b = 3.7873 Å, c = 27.3419 Å, α = 90.00°, β = 90.00° and γ = 120.00°. The asymmetric unit holds Ca at (0.0000, 0.0000, 0.0000), In at (0.0000, 0.0000, 0.2397), Hg at (0.0000, 0.0000, 0.4947) and Hg at (0.0000, 0.0000, 0.7498).


(6)
Entry from Alexandria via LeMat-Bulk: a relaxed structure of CaIn7Hg5 (PBE).

The calculation puts the magnetization at 0.000 μB per atom. Its formation energy is -0.076 eV per atom. As for the crystal system: monoclinic. As for the total energy: -1.82 eV per atom.

It has space group Cm (No. 8), with a = 13.7818 Å, b = 9.9250 Å, c = 5.5055 Å, α = 90.00°, β = 110.58° and γ = 90.00°. The asymmetric unit holds Ca at (0.0000, 0.0000, 0.0000), In at (0.0586, 0.3387, 0.0491), In at (0.1075, 0.5000, 0.5879), In at (0.2845, 0.5000, 0.2392), In at (0.3629, 0.0000, 0.6846), In at (0.4674, 0.2671, 0.4581), Hg at (0.1340, 0.0000, 0.6155), Hg at (0.2410, 0.1548, 0.1672) and Hg at (0.2996, 0.3077, 0.7502).


(7)
Entry from Alexandria via LeMat-Bulk: a relaxed structure of CaIn5Hg7 (PBE).

The calculation puts the magnetization at 0.000 μB per atom. Its formation energy is -0.061 eV per atom. As for the crystal system: monoclinic. As for the total energy: -1.43 eV per atom.

It has space group Cm (No. 8), with a = 12.6245 Å, b = 9.9344 Å, c = 5.9443 Å, α = 90.00°, β = 107.74° and γ = 90.00°. The asymmetric unit holds Ca at (0.0000, 0.0000, 0.0000), In at (0.2017, 0.3004, 0.0641), In at (0.2476, 0.0000, 0.8887), In at (0.3036, 0.2755, 0.6386), Hg at (0.0575, 0.1826, 0.5425), Hg at (0.0664, 0.5000, 0.6219), Hg at (0.2980, 0.0000, 0.4108), Hg at (0.3578, 0.5000, 0.3664) and Hg at (0.4716, 0.1584, 0.0844).


(8)
Entry from Alexandria via LeMat-Bulk: a relaxed structure of Ca11In9Hg4 (PBE).

The calculation puts the magnetization at 0.000 μB per atom. Its formation energy is -0.471 eV per atom. As for the crystal system: orthorhombic. As for the total energy: -2.47 eV per atom.

It has space group Cmmm (No. 65), with a = 15.2361 Å, b = 22.9353 Å, c = 3.8500 Å, α = 90.00°, β = 90.00° and γ = 90.00°. The asymmetric unit holds Ca at (0.0000, 0.0000, 0.0000), Ca at (0.0000, 0.1609, 0.0000), Ca at (0.0000, 0.3629, 0.0000), Ca at (0.2132, 0.5000, 0.0000), Ca at (0.2373, 0.1737, 0.0000), In at (0.0000, 0.5000, 0.5000), In at (0.1036, 0.2611, 0.5000), In at (0.1376, 0.0725, 0.5000) and Hg at (0.1496, 0.4018, 0.5000).